Entry 1:
MgNi3Ge: optimized geometry, PBE.

Geometry as POSCAR:
```
MgNi3Ge
1.0
4.345 0.000 0.000
0.000 4.345 0.000
0.000 0.000 4.345
Ge Mg Ni
1 1 3
Direct
0.000 0.000 0.000 Ge
0.500 0.500 0.500 Mg
0.500 0.000 0.000 Ni
0.000 0.000 0.500 Ni
0.000 0.500 0.000 Ni
```

Output
Energy relative to the lowest polymorph listed for this composition ... 423.5 meV/atom
Fermi-level density of states ... 0.6098 states/eV/atom
ΔH_f (0 K) ... 249 meV per atom
Volume ... 16.41 A^3/atom
DFT total energy ... -4.46 eV per atom

---

Entry 2:
TbDy3Zn2: optimized geometry, PBE.

Geometry as POSCAR:
```
TbDy3Zn2
1.0
-3.020 0.672 1.771
-1.889 -0.814 -2.912
-0.493 -11.611 3.567
Dy Zn Tb
3 2 1
Direct
0.000 0.000 0.000 Dy
0.000 0.000 0.291 Dy
0.000 0.000 0.709 Dy
0.500 0.500 0.145 Zn
0.500 0.500 0.855 Zn
0.500 0.500 0.500 Tb
```

Output
Fermi-level density of states ... 0.9799 states/eV/atom
ΔH_f (0 K) ... -225 meV per atom
Volume ... 25.75 A^3/atom
DFT total energy ... -3.72 eV per atom

---

Entry 3:
Pm3TmAg4: optimized geometry, PBE.

Geometry as POSCAR:
```
Pm3TmAg4
1.0
-0.170 -2.511 -2.677
0.447 -2.674 2.480
-14.802 -0.857 1.744
Pm Ag Tm
3 4 1
Direct
0.500 0.500 0.755 Pm
0.500 0.500 0.500 Pm
0.500 0.500 0.245 Pm
0.000 0.000 0.113 Ag
0.000 0.000 0.887 Ag
0.000 0.000 0.626 Ag
0.000 0.000 0.374 Ag
0.500 0.500 0.000 Tm
```

Output
Fermi-level density of states ... 0.6519 states/eV/atom
ΔH_f (0 K) ... -288 meV per atom
Volume ... 25.19 A^3/atom
DFT total energy ... -4.05 eV per atom